[1]
VASP calculation (PBE) on a geometry-optimized Dy4ZnSe3 structure.

Values from the calculation:
V   24.23 Å³/atom
Theoretical density   8158 kg/m³
Spin magnetization   0.000 μB per atom
Raw total energy   -5.179 eV/atom

The structure in POSCAR format:
```
Dy4ZnSe3
1.0
-0.131 5.789 0.066
-0.972 0.043 -5.709
-5.144 -3.056 3.791
Se Dy Zn
3 4 1
direct
0.500 0.500 0.000 Se
0.750 0.250 0.500 Se
0.250 0.750 0.500 Se
0.250 0.250 0.501 Dy
0.500 0.000 0.000 Dy
0.750 0.750 0.499 Dy
0.000 0.500 0.000 Dy
0.000 0.000 0.000 Zn
```

***

[2]
VASP calculation (PBE) on a geometry-optimized DyZnSe structure.

Values from the calculation:
V   24.08 Å³/atom
Theoretical density   7055 kg/m³
Spin magnetization   0.000 μB per atom
Raw total energy   -4.187 eV/atom

The structure in POSCAR format:
```
DyZnSe
1.0
4.571 0.000 0.000
2.285 3.958 0.000
2.285 1.319 7.984
Zn Dy Se
2 2 2
direct
0.830 0.830 0.510 Zn
0.170 0.170 0.490 Zn
0.576 0.576 0.271 Dy
0.424 0.424 0.729 Dy
0.284 0.284 0.148 Se
0.716 0.716 0.852 Se
```

***

[3]
VASP calculation (PBE) on a geometry-optimized Dy7ZnSe5 structure.

Values from the calculation:
V   25.05 Å³/atom
Theoretical density   8147 kg/m³
Spin magnetization   0.000 μB per atom
Raw total energy   -5.315 eV/atom

The structure in POSCAR format:
```
Dy7ZnSe5
1.0
-0.700 -3.303 2.190
1.347 -2.130 -6.479
23.662 -1.424 5.419
Dy Se Zn
14 10 2
direct
0.808 0.617 0.679 Dy
0.192 0.384 0.321 Dy
0.362 0.724 0.963 Dy
0.362 0.724 0.537 Dy
0.469 0.939 0.250 Dy
0.912 0.824 0.114 Dy
0.089 0.178 0.614 Dy
0.531 0.062 0.750 Dy
0.807 0.615 0.820 Dy
0.193 0.387 0.180 Dy
0.911 0.823 0.386 Dy
0.088 0.177 0.887 Dy
0.639 0.277 0.037 Dy
0.638 0.277 0.463 Dy
0.000 0.000 0.500 Se
0.278 0.556 0.072 Se
0.553 0.106 0.357 Se
0.447 0.894 0.643 Se
0.000 0.001 0.000 Se
0.277 0.555 0.428 Se
0.446 0.893 0.857 Se
0.723 0.446 0.572 Se
0.723 0.446 0.928 Se
0.554 0.108 0.143 Se
0.805 0.610 0.251 Zn
0.196 0.391 0.749 Zn
```

***

[4]
VASP calculation (PBE) on a geometry-optimized Dy4ZnSe2 structure.

Values from the calculation:
V   26.13 Å³/atom
Theoretical density   7928 kg/m³
Spin magnetization   0.000 μB per atom
Raw total energy   -4.824 eV/atom

The structure in POSCAR format:
```
Dy4ZnSe2
1.0
3.840 0.000 -1.002
-0.760 6.361 -2.910
-0.034 -0.461 7.723
Dy Zn Se
4 1 2
direct
0.885 0.533 0.769 Dy
0.115 0.467 0.231 Dy
0.622 0.928 0.245 Dy
0.378 0.072 0.755 Dy
0.000 0.000 0.000 Zn
0.757 0.745 0.513 Se
0.243 0.255 0.487 Se
```